VASP calculation (GGA-PBE) on an optimized crystal structure of Tb2ThMn.

Calculated values
For the total energy, the calculation gives -6.308 eV per atom. The space group is P4/mmm, No. 123. For the calculated volume, the calculation gives 108.6 Å³/f.u. Its polymorph energy (0 for the lowest one) is 0.00 eV/f.u. For the energy relative to the elements, the calculation gives 155 meV/atom. For the density of states at the Fermi level, the calculation gives 5.50 states/eV/f.u. The density is 9.24 g/cm³.

abc: 3.514 3.514 8.796
angles: 90.00 90.00 90.00
Positions (direct):
Th 0.500 0.500 0.500
Mn 0.500 0.500 0.000
Tb 0.000 0.000 0.795
Tb 0.000 0.000 0.205


VASP calculation (GGA-PBE) on an optimized crystal structure of BaMoAu2.

Calculated values
For the total energy, the calculation gives -4.240 eV per atom. The space group is R-3m, No. 166. For the calculated volume, the calculation gives 89.5 Å³/f.u. Its polymorph energy (0 for the lowest one) is 2.08 eV/f.u. For the energy relative to the elements, the calculation gives 587 meV/atom. For the density of states at the Fermi level, the calculation gives 4.86 states/eV/f.u. The density is 11.64 g/cm³.

abc: 10.102 10.102 10.102
angles: 18.37 18.37 18.37
Positions (direct):
Mo 0.750 0.750 0.750
Au 0.014 0.014 0.014
Au 0.486 0.486 0.486
Ba 0.250 0.250 0.250